DFT (GGA-PBE) results for InMoSe2 after structural relaxation.

The structure belongs to space group Cm (No. 8); the cell edges are 9.074, 3.236 and 6.412 Å and the angles 90.00°, 112.27° and 90.00°. The asymmetric unit holds In at (0.000, 0.000, 0.000), Mo at (0.152, 0.500, 0.419), Se at (0.191, 0.000, 0.743) and Se at (0.348, 0.000, 0.368).

Its formation energy without anion corrections is -4.847 kcal/mol of atoms. For the density of states at the Fermi level, the calculation gives 2.0 states/eV/f.u.

DFT (GGA-PBE) results for InMo3Se after structural relaxation.

The structure belongs to space group Pm-3m (No. 221); the cell edges are 4.630, 4.630 and 4.630 Å and the angles 90.00°, 90.00° and 90.00°. The asymmetric unit holds In at (0.000, 0.000, 0.000), Mo at (0.000, 0.500, 0.500) and Se at (0.500, 0.500, 0.500).

Its formation energy without anion corrections is 20.976 kcal/mol of atoms. The value obtained for the energy above the lowest structure with this stoichiometry is 0 meV/atom. For the density of states at the Fermi level, the calculation gives 5.3 states/eV/f.u.

DFT (GGA-PBE) results for In4MoSe after structural relaxation.

The structure belongs to space group F-43m (No. 216); the cell edges are 8.250, 8.250 and 8.250 Å and the angles 90.00°, 90.00° and 90.00°. The asymmetric unit holds In at (0.125, 0.125, 0.125), Mo at (0.250, 0.250, 0.750) and Se at (0.000, 0.000, 0.500).

Its formation energy without anion corrections is 15.827 kcal/mol of atoms. For the density of states at the Fermi level, the calculation gives 4.5 states/eV/f.u.

DFT (GGA-PBE) results for InMo2Se after structural relaxation.

The structure belongs to space group I-42d (No. 122); the cell edges are 4.102, 4.102 and 18.898 Å and the angles 90.00°, 90.00° and 90.00°. The asymmetric unit holds In at (0.000, 0.000, 0.000), Mo at (0.183, 0.250, 0.625) and Se at (0.000, 0.000, 0.500).

Its formation energy without anion corrections is 12.835 kcal/mol of atoms. The value obtained for the energy above the lowest structure with this stoichiometry is 483 meV/atom. For the density of states at the Fermi level, the calculation gives 3.7 states/eV/f.u.

DFT (GGA-PBE) results for In2MoSe after structural relaxation.

The structure belongs to space group Cmm2 (No. 35); the cell edges are 3.370, 5.278 and 10.386 Å and the angles 90.00°, 90.00° and 90.00°. The asymmetric unit holds In at (0.000, 0.000, 0.000), In at (0.000, 0.500, 0.269), Mo at (0.000, 0.500, 0.773) and Se at (0.000, 0.000, 0.601).

Its formation energy without anion corrections is 4.494 kcal/mol of atoms. For the density of states at the Fermi level, the calculation gives 2.1 states/eV/f.u.

DFT (GGA-PBE) results for InMo2Se after structural relaxation.

The structure belongs to space group I4/mmm (No. 139); the cell edges are 3.988, 3.988 and 9.061 Å and the angles 90.00°, 90.00° and 90.00°. The asymmetric unit holds In at (0.000, 0.000, 0.000), Mo at (0.000, 0.500, 0.250) and Se at (0.000, 0.000, 0.500).

Its formation energy without anion corrections is 16.636 kcal/mol of atoms. The value obtained for the energy above the lowest structure with this stoichiometry is 647 meV/atom. For the density of states at the Fermi level, the calculation gives 2.8 states/eV/f.u.

DFT (GGA-PBE) results for InMoSe2 after structural relaxation.

The structure belongs to space group F-43m (No. 216); the cell edges are 6.934, 6.934 and 6.934 Å and the angles 90.00°, 90.00° and 90.00°. The asymmetric unit holds In at (0.000, 0.000, 0.000), Mo at (0.250, 0.250, 0.750), Se at (0.000, 0.000, 0.500) and Se at (0.250, 0.250, 0.250).

Its formation energy without anion corrections is 15.847 kcal/mol of atoms. For the density of states at the Fermi level, the calculation gives 3.3 states/eV/f.u.

DFT (GGA-PBE) results for InMoSe2 after structural relaxation.

The structure belongs to space group I-42d (No. 122); the cell edges are 6.968, 6.968 and 9.886 Å and the angles 90.00°, 90.00° and 90.00°. The asymmetric unit holds In at (0.000, 0.000, 0.000), Mo at (0.000, 0.000, 0.500) and Se at (0.164, 0.250, 0.625).

Its formation energy without anion corrections is 0.795 kcal/mol of atoms. For the density of states at the Fermi level, the calculation gives 3.1 states/eV/f.u.

DFT (GGA-PBE) results for InMoSe after structural relaxation.

The structure belongs to space group P3m1 (No. 156); the cell edges are 3.2809, 3.2809 and 6.4564 Å and the angles 90.00°, 90.00° and 120.00°. The asymmetric unit holds In at (0.0000, 0.0000, 0.0000), Mo at (0.3333, 0.6667, 0.3406) and Se at (0.6667, 0.3333, 0.5937).

Its formation energy without anion corrections is -1.658 kcal/mol of atoms. The value obtained for the energy above the lowest structure with this stoichiometry is 0 meV/atom. For the density of states at the Fermi level, the calculation gives 2.3 states/eV/f.u.

DFT (GGA-PBE) results for In2MoSe after structural relaxation.

The structure belongs to space group P4/mmm (No. 123); the cell edges are 4.900, 4.900 and 3.397 Å and the angles 90.00°, 90.00° and 90.00°. The asymmetric unit holds In at (0.000, 0.500, 0.000), Mo at (0.000, 0.000, 0.500) and Se at (0.500, 0.500, 0.500).

Its formation energy without anion corrections is 8.678 kcal/mol of atoms. For the density of states at the Fermi level, the calculation gives 3.0 states/eV/f.u.

DFT (GGA-PBE) results for InMoSe2 after structural relaxation.

The structure belongs to space group P4/mmm (No. 123); the cell edges are 3.122, 3.122 and 8.915 Å and the angles 90.00°, 90.00° and 90.00°. The asymmetric unit holds In at (0.000, 0.000, 0.000), Mo at (0.000, 0.000, 0.500) and Se at (0.500, 0.500, 0.328).

Its formation energy without anion corrections is -5.296 kcal/mol of atoms. For the density of states at the Fermi level, the calculation gives 1.2 states/eV/f.u.

DFT (GGA-PBE) results for InMo3Se3 after structural relaxation.

The structure belongs to space group P6_3/m (No. 176); the cell edges are 9.0632, 9.0632 and 4.5259 Å and the angles 90.00°, 90.00° and 120.00°. The asymmetric unit holds In at (0.3333, 0.6667, 0.2500), Mo at (0.0325, 0.1839, 0.2500) and Se at (0.0669, 0.3646, 0.7500).

Its formation energy without anion corrections is -10.151 kcal/mol of atoms. For the density of states at the Fermi level, the calculation gives 1.0 states/eV/f.u.

DFT (GGA-PBE) results for ZrIn2MoSe after structural relaxation.

The structure belongs to space group P4/mmm (No. 123); the cell edges are 5.312, 5.312 and 4.643 Å and the angles 90.00°, 90.00° and 90.00°. The asymmetric unit holds Zr at (0.000, 0.000, 0.000), In at (0.000, 0.500, 0.500), Mo at (0.500, 0.500, 0.500) and Se at (0.500, 0.500, 0.000).

Its formation energy without anion corrections is 15.426 kcal/mol of atoms. For the density of states at the Fermi level, the calculation gives 6.2 states/eV/f.u.

DFT (GGA-PBE) results for InSiMo after structural relaxation.

The structure belongs to space group Fmm2 (No. 42); the cell edges are 3.566, 4.600 and 13.218 Å and the angles 90.00°, 90.00° and 90.00°. The asymmetric unit holds In at (0.000, 0.000, 0.000), Si at (0.000, 0.000, 0.308) and Mo at (0.000, 0.000, 0.676).

Its formation energy without anion corrections is 8.720 kcal/mol of atoms. For the density of states at the Fermi level, the calculation gives 2.5 states/eV/f.u.

DFT (GGA-PBE) results for InSiMo after structural relaxation.

The structure belongs to space group I4mm (No. 107); the cell edges are 2.896, 2.896 and 12.829 Å and the angles 90.00°, 90.00° and 90.00°. The asymmetric unit holds In at (0.000, 0.000, 0.000), Si at (0.000, 0.000, 0.695) and Mo at (0.000, 0.000, 0.328).

Its formation energy without anion corrections is 9.090 kcal/mol of atoms. For the density of states at the Fermi level, the calculation gives 2.5 states/eV/f.u.

DFT (GGA-PBE) results for In2SiMo after structural relaxation.

The structure belongs to space group R-3m (No. 166, hexagonal axes); the cell edges are 2.9795, 2.9795 and 31.1037 Å and the angles 90.00°, 90.00° and 120.00°. The asymmetric unit holds In at (0.0000, 0.0000, 0.2442), Si at (0.0000, 0.0000, 0.0000) and Mo at (0.0000, 0.0000, 0.5000).

Its formation energy without anion corrections is 12.979 kcal/mol of atoms. For the density of states at the Fermi level, the calculation gives 1.3 states/eV/f.u.

DFT (GGA-PBE) results for In2SiMo after structural relaxation.

The structure belongs to space group I4/mmm (No. 139); the cell edges are 4.046, 4.046 and 9.036 Å and the angles 90.00°, 90.00° and 90.00°. The asymmetric unit holds In at (0.000, 0.500, 0.250), Si at (0.000, 0.000, 0.000) and Mo at (0.000, 0.000, 0.500).

Its formation energy without anion corrections is 10.389 kcal/mol of atoms. For the density of states at the Fermi level, the calculation gives 2.0 states/eV/f.u.

DFT (GGA-PBE) results for In2SiMo2 after structural relaxation.

The structure belongs to space group P4/mbm (No. 127); the cell edges are 6.424, 6.424 and 4.532 Å and the angles 90.00°, 90.00° and 90.00°. The asymmetric unit holds In at (0.168, 0.332, 0.000), Si at (0.000, 0.000, 0.500) and Mo at (0.140, 0.640, 0.500).

Its formation energy without anion corrections is 2.415 kcal/mol of atoms. For the density of states at the Fermi level, the calculation gives 2.0 states/eV/f.u.

DFT (GGA-PBE) results for In2SiMo after structural relaxation.

The structure belongs to space group P4/mmm (No. 123); the cell edges are 3.709, 3.709 and 5.451 Å and the angles 90.00°, 90.00° and 90.00°. The asymmetric unit holds In at (0.000, 0.000, 0.249), Si at (0.500, 0.500, 0.500) and Mo at (0.500, 0.500, 0.000).

Its formation energy without anion corrections is 8.000 kcal/mol of atoms. For the density of states at the Fermi level, the calculation gives 1.4 states/eV/f.u.

DFT (GGA-PBE) results for InSi2Mo2 after structural relaxation.

The structure belongs to space group P4/mbm (No. 127); the cell edges are 7.139, 7.139 and 3.198 Å and the angles 90.00°, 90.00° and 90.00°. The asymmetric unit holds In at (0.000, 0.000, 0.000), Si at (0.142, 0.358, 0.500) and Mo at (0.146, 0.646, 0.000).

Its formation energy without anion corrections is -0.564 kcal/mol of atoms. The value obtained for the energy above the lowest structure with this stoichiometry is 0 meV/atom. For the density of states at the Fermi level, the calculation gives 3.9 states/eV/f.u.

DFT (GGA-PBE) results for InSiMo after structural relaxation.

The structure belongs to space group P-6m2 (No. 187); the cell edges are 4.2143, 4.2143 and 3.5385 Å and the angles 90.00°, 90.00° and 120.00°. The asymmetric unit holds In at (0.0000, 0.0000, 0.0000), Si at (0.3333, 0.6667, 0.5000) and Mo at (0.6667, 0.3333, 0.5000).

Its formation energy without anion corrections is 4.892 kcal/mol of atoms. For the density of states at the Fermi level, the calculation gives 1.1 states/eV/f.u.

DFT (GGA-PBE) results for InSiMo4 after structural relaxation.

The structure belongs to space group F-43m (No. 216); the cell edges are 7.463, 7.463 and 7.463 Å and the angles 90.00°, 90.00° and 90.00°. The asymmetric unit holds In at (0.000, 0.000, 0.000), Si at (0.250, 0.250, 0.250) and Mo at (0.125, 0.125, 0.625).

Its formation energy without anion corrections is 11.434 kcal/mol of atoms. For the density of states at the Fermi level, the calculation gives 3.3 states/eV/f.u.

DFT (GGA-PBE) results for In2SiMo after structural relaxation.

The structure belongs to space group I-4m2 (No. 119); the cell edges are 4.154, 4.154 and 8.692 Å and the angles 90.00°, 90.00° and 90.00°. The asymmetric unit holds In at (0.000, 0.000, 0.000), In at (0.000, 0.500, 0.250), Si at (0.000, 0.000, 0.500) and Mo at (0.000, 0.500, 0.750).

Its formation energy without anion corrections is 10.501 kcal/mol of atoms. For the density of states at the Fermi level, the calculation gives 2.3 states/eV/f.u.

DFT (GGA-PBE) results for In2SiMo after structural relaxation.

The structure belongs to space group Cmmm (No. 65); the cell edges are 3.738, 4.681 and 8.845 Å and the angles 90.00°, 90.00° and 90.00°. The asymmetric unit holds In at (0.000, 0.000, 0.245), Si at (0.000, 0.500, 0.500) and Mo at (0.000, 0.500, 0.000).

Its formation energy without anion corrections is 12.294 kcal/mol of atoms. For the density of states at the Fermi level, the calculation gives 2.3 states/eV/f.u.

DFT (GGA-PBE) results for In2SiMo after structural relaxation.

The structure belongs to space group Pm (No. 6); the cell edges are 3.919, 3.800 and 5.647 Å and the angles 90.00°, 110.17° and 90.00°. The asymmetric unit holds In at (0.000, 0.000, 0.000), In at (0.309, 0.500, 0.621), Si at (0.576, 0.500, 0.152) and Mo at (0.721, 0.000, 0.444).

Its formation energy without anion corrections is 4.251 kcal/mol of atoms. For the density of states at the Fermi level, the calculation gives 2.0 states/eV/f.u.

DFT (GGA-PBE) results for InSiMo after structural relaxation.

The structure belongs to space group P3m1 (No. 156); the cell edges are 3.0628, 3.0628 and 6.6130 Å and the angles 90.00°, 90.00° and 120.00°. The asymmetric unit holds In at (0.0000, 0.0000, 0.0000), Si at (0.6667, 0.3333, 0.6286) and Mo at (0.3333, 0.6667, 0.3546).

Its formation energy without anion corrections is 6.356 kcal/mol of atoms. For the density of states at the Fermi level, the calculation gives 3.0 states/eV/f.u.

DFT (GGA-PBE) results for In2SiMo after structural relaxation.

The structure belongs to space group P4mm (No. 99); the cell edges are 3.279, 3.279 and 7.540 Å and the angles 90.00°, 90.00° and 90.00°. The asymmetric unit holds In at (0.000, 0.000, 0.000), In at (0.500, 0.500, 0.343), Si at (0.500, 0.500, 0.727) and Mo at (0.000, 0.000, 0.598).

Its formation energy without anion corrections is 3.663 kcal/mol of atoms. For the density of states at the Fermi level, the calculation gives 3.3 states/eV/f.u.

DFT (GGA-PBE) results for In2SiMo after structural relaxation.

The structure belongs to space group C2/m (No. 12); the cell edges are 5.443, 8.310 and 3.346 Å and the angles 90.00°, 90.20° and 90.00°. The asymmetric unit holds In at (0.250, 0.250, 0.000), Si at (0.000, 0.000, 0.500) and Mo at (0.000, 0.500, 0.500).

Its formation energy without anion corrections is 10.667 kcal/mol of atoms. For the density of states at the Fermi level, the calculation gives 3.3 states/eV/f.u.

DFT (GGA-PBE) results for In2SiMo after structural relaxation.

The structure belongs to space group F-43m (No. 216); the cell edges are 6.741, 6.741 and 6.741 Å and the angles 90.00°, 90.00° and 90.00°. The asymmetric unit holds In at (0.000, 0.000, 0.000), In at (0.250, 0.250, 0.250), Si at (0.250, 0.250, 0.750) and Mo at (0.000, 0.000, 0.500).

Its formation energy without anion corrections is 16.250 kcal/mol of atoms. For the density of states at the Fermi level, the calculation gives 3.7 states/eV/f.u.